The following is a PBE calculation of Al2SbRh after structural relaxation, from Alexandria via LeMat-Bulk. Values from VASP.

Calculated values
symmetry = F-43m, No. 216
formation energy from raw total energies = -0.0396 eV/atom

Quantum ESPRESSO input file:
```
&SYSTEM
  ibrav = 0, nat = 4, ntyp = 3
/
ATOMIC_SPECIES
Al 26.98 Al.upf
Sb 121.76 Sb.upf
Rh 102.91 Rh.upf
CELL_PARAMETERS angstrom
0.0000 3.2830 3.2830
3.2830 0.0000 3.2830
3.2830 3.2830 0.0000
ATOMIC_POSITIONS crystal
Al 0.0000 0.0000 0.0000
Al 0.2500 0.2500 0.2500
Sb 0.7500 0.7500 0.7500
Rh 0.5000 0.5000 0.5000
```

***

The following is a PBE calculation of NpFe2Ir after structural relaxation, from Alexandria via LeMat-Bulk. Values from VASP.

Calculated values
symmetry = Fm-3m, No. 225
distance to the lowest polymorph of the same formula = 0.81 eV per formula unit

Quantum ESPRESSO input file:
```
&SYSTEM
  ibrav = 0, nat = 4, ntyp = 3
/
ATOMIC_SPECIES
Np 237.00 Np.upf
Fe 55.84 Fe.upf
Ir 192.22 Ir.upf
CELL_PARAMETERS angstrom
0.0000 3.1124 3.1124
3.1124 0.0000 3.1124
3.1124 3.1124 0.0000
ATOMIC_POSITIONS crystal
Np 0.0000 0.0000 0.0000
Fe 0.2500 0.2500 0.2500
Fe 0.7500 0.7500 0.7500
Ir 0.5000 0.5000 0.5000
```

***

The following is a PBE calculation of Gd2YMg after structural relaxation, from Alexandria via LeMat-Bulk. Values from VASP.

Calculated values
symmetry = R-3m, No. 166
distance to the lowest polymorph of the same formula = 0.90 eV per formula unit

Quantum ESPRESSO input file:
```
&SYSTEM
  ibrav = 0, nat = 4, ntyp = 3
/
ATOMIC_SPECIES
Gd 157.25 Gd.upf
Y 88.91 Y.upf
Mg 24.30 Mg.upf
CELL_PARAMETERS angstrom
1.7313 0.9996 12.3328
-1.7313 0.9996 12.3328
0.0000 -1.9992 12.3328
ATOMIC_POSITIONS crystal
Gd 0.0888 0.0888 0.0888
Gd 0.9112 0.9112 0.9112
Y 0.5000 0.5000 0.5000
Mg 0.0000 0.0000 0.0000
```

***

| no. | D(E_F) (states/eV per cell) | calculated volume (Å³/f.u.) |
| --- | --- | --- |
| 1 | 1.52 | 71 |
| 2 | 7.13 | 60 |
| 3 | 4.96 | 128 |